## OsPbSe2 (GGA-PBE)

Data for crystalline OsPbSe2 at its relaxed geometry.

Output
The magnetization comes out at 0.00 μB/cell. Its crystal system is orthorhombic. The value obtained for the raw formation energy is 0.92 eV per atom.

Geometry as CIF:
```
data_OsPbSe2
_chemical_formula_sum 'Os1 Pb1 Se2'
_symmetry_space_group_name_H-M 'P m m m'
_symmetry_Int_Tables_number 47
_cell_length_a 3.359
_cell_length_b 4.650
_cell_length_c 5.176
_cell_angle_alpha 90.00
_cell_angle_beta 90.00
_cell_angle_gamma 90.00
loop_
_symmetry_equiv_pos_as_xyz
'x,y,z'
'-x,-y,-z'
'-x,-y,z'
'x,y,-z'
'x,-y,-z'
'-x,y,z'
'-x,y,-z'
'x,-y,z'
loop_
_atom_site_label
_atom_site_type_symbol
_atom_site_fract_x
_atom_site_fract_y
_atom_site_fract_z
Os1 Os 0.000 0.000 0.000
Pb1 Pb 0.500 0.000 0.500
Se1 Se 0.000 0.500 0.500
Se2 Se 0.500 0.500 0.000
```